This record from Alexandria via LeMat-Bulk describes an optimized crystal structure of BaTbCl5. The functional is PBE.

Lattice parameters (Å, degrees): 10.1115 10.1115 6.9029 90.88 90.88 148.11
Last column: nearest neighbours and their distance in Å.
Fractional positions:
1 Ba 0.1720 0.8280 0.7500  10 Cl 3.23-3.57
2 Ba 0.8280 0.1720 0.2500  10 Cl 3.23-3.57
3 Tb 0.4237 0.5763 0.7500  8 Cl 2.74-2.94
4 Tb 0.5763 0.4237 0.2500  8 Cl 2.74-2.94
5 Cl 0.1258 0.8742 0.2500  2 Tb 2.94
6 Cl 0.2270 0.2906 0.4044  2 Tb 2.74-2.81
7 Cl 0.2906 0.2270 0.9044  2 Tb 2.74-2.81
8 Cl 0.3054 0.6796 0.9999  1 Tb 2.76
9 Cl 0.3204 0.6946 0.5001  1 Tb 2.76
10 Cl 0.6796 0.3054 0.4999  1 Tb 2.76
11 Cl 0.6946 0.3204 0.0001  1 Tb 2.76
12 Cl 0.7094 0.7730 0.0956  2 Tb 2.74-2.81
13 Cl 0.7730 0.7094 0.5956  2 Tb 2.74-2.81
14 Cl 0.8742 0.1258 0.7500  2 Tb 2.94

## Properties
Its space-group type is C2/c. The calculation puts the total magnetization at 0.0 μB per cell. The formation energy (no corrections) comes out at -16.64 eV per formula unit.

This record from Alexandria via LeMat-Bulk describes an optimized crystal structure of CoMo2PN. The functional is PBE.

Lattice parameters (Å, degrees): 4.6666 4.6666 3.2839 90.00 90.00 90.00
Last column: nearest neighbours and their distance in Å.
Fractional positions:
1 Co 0.0000 0.0000 0.0000  8 Mo 2.85
2 Mo 0.0000 0.5000 0.5000  2 P 2.33
3 Mo 0.5000 0.0000 0.5000  2 P 2.33
4 P 0.5000 0.5000 0.5000  2 N 1.64
5 N 0.5000 0.5000 0.0000  2 P 1.64

## Properties
Its space-group type is P4/mmm. The calculation puts the total magnetization at 2.2 μB per cell. The formation energy (no corrections) comes out at 5.93 eV per formula unit.

This record from Alexandria via LeMat-Bulk describes an optimized crystal structure of CeHoIn4. The functional is PBE.

Lattice parameters (Å, degrees): 6.0449 6.0449 6.0449 60.00 60.00 60.00
Last column: nearest neighbours and their distance in Å.
Fractional positions:
1 Ce 0.0000 0.0000 0.0000  12 In 3.54, 4 Ho 3.70
2 Ho 0.7500 0.7500 0.7500  12 In 3.54, 4 Ce 3.70
3 In 0.3749 0.3749 0.3749  6 In 3.02
4 In 0.3749 0.3749 0.8752  6 In 3.02
5 In 0.3749 0.8752 0.3749  6 In 3.02
6 In 0.8752 0.3749 0.3749  6 In 3.02

## Properties
Its space-group type is F-43m. For the relative energy among the computed polymorphs, the calculation gives 0.000 eV/atom. As for the calculated formation energy: -0.30 eV/atom. The calculation puts the total magnetization at 1.2 μB per cell.

This record from Alexandria via LeMat-Bulk describes an optimized crystal structure of SiTeBrN2. The functional is PBE.

Lattice parameters (Å, degrees): 3.7490 3.7490 5.9666 90.00 90.00 90.00
Last column: nearest neighbours and their distance in Å.
Fractional positions:
1 Si 0.0000 0.0000 0.0000  4 N 1.87
2 Te 0.0000 0.0000 0.5000  4 Br 2.65
3 Br 0.5000 0.5000 0.5000  4 Te 2.65
4 N 0.0000 0.5000 0.0000  2 Si 1.87
5 N 0.5000 0.0000 0.0000  2 Si 1.87

## Properties
Its space-group type is P4/mmm. For the relative energy among the computed polymorphs, the calculation gives 0.000 eV/atom. The calculation puts the total magnetization at 0.0 μB per cell. The formation energy (no corrections) comes out at 4.67 eV per formula unit.

This record from Alexandria via LeMat-Bulk describes an optimized crystal structure of Be2InAs. The functional is PBE.

Lattice parameters (Å, degrees): 3.0087 3.0087 7.6960 90.00 90.00 90.00
Last column: nearest neighbours and their distance in Å.
Fractional positions:
1 Be 0.0000 0.0000 0.0000  4 Be 2.35, 4 As 2.50
2 Be 0.5000 0.5000 0.1301  1 As 2.31, 4 Be 2.35
3 In 0.0000 0.0000 0.3753  5 Be 2.84-2.89, 4 In 3.01
4 As 0.5000 0.5000 0.8295  5 Be 2.31-2.50

## Properties
Its space-group type is P4mm. For the relative energy among the computed polymorphs, the calculation gives 0.126 eV/atom. As for the calculated formation energy: 0.37 eV/atom. The calculation puts the total magnetization at 0.0 μB per cell.

This record from Alexandria via LeMat-Bulk describes an optimized crystal structure of TbPuHgRh. The functional is PBE.

Lattice parameters (Å, degrees): 5.0850 5.0850 5.0850 60.00 60.00 60.00
Last column: nearest neighbours and their distance in Å.
Fractional positions:
1 Tb 0.0000 0.0000 0.0000  4 Rh 3.11, 4 Hg 3.11
2 Pu 0.5000 0.5000 0.5000  4 Hg 3.11, 4 Rh 3.11
3 Hg 0.2500 0.2500 0.2500  4 Tb 3.11, 4 Pu 3.11
4 Rh 0.7500 0.7500 0.7500  4 Tb 3.11, 4 Pu 3.11

## Properties
Its space-group type is F-43m. As for the calculated formation energy: -0.35 eV/atom. The calculation puts the total magnetization at 5.5 μB per cell.

This record from Alexandria via LeMat-Bulk describes an optimized crystal structure of PaReHg2O8. The functional is PBE.

Lattice parameters (Å, degrees): 5.3663 5.3899 6.6175 93.87 93.73 95.46
Last column: nearest neighbours and their distance in Å.
Fractional positions:
1 Pa 0.0000 0.0000 0.0000  6 O 2.05-2.26
2 Re 0.0000 0.0000 0.5000  6 O 1.88-1.92
3 Hg 0.4873 0.4867 0.7431  2 O 2.10-2.11
4 Hg 0.5127 0.5133 0.2569  2 O 2.10-2.11
5 O 0.1571 0.8383 0.2819  1 Re 1.92
6 O 0.1645 0.8457 0.7176  1 Re 1.92
7 O 0.2605 0.2625 0.5180  1 Re 1.88, 1 Hg 2.10
8 O 0.2844 0.2862 0.0327  1 Pa 2.05, 1 Hg 2.11
9 O 0.7156 0.7138 0.9673  1 Pa 2.05, 1 Hg 2.11
10 O 0.7395 0.7375 0.4820  1 Re 1.88, 1 Hg 2.10
11 O 0.8355 0.1543 0.2824  1 Re 1.92
12 O 0.8429 0.1617 0.7181  1 Re 1.92

## Properties
Its space-group type is P-1. The calculation puts the total magnetization at 0.0 μB per cell. The formation energy (no corrections) comes out at -19.67 eV per formula unit.

This record from Alexandria via LeMat-Bulk describes an optimized crystal structure of Sb2Te. The functional is PBE.

Lattice parameters (Å, degrees): 9.2453 9.2453 5.0414 90.00 90.00 154.93
Last column: nearest neighbours and their distance in Å.
Fractional positions:
1 Sb 0.0897 0.9103 0.7500  2 Sb 3.01, 4 Te 3.22
2 Sb 0.2862 0.7138 0.2500  2 Sb 3.01, 2 Te 3.31
3 Sb 0.7138 0.2862 0.7500  2 Sb 3.01, 2 Te 3.31
4 Sb 0.9103 0.0897 0.2500  2 Sb 3.01, 4 Te 3.22
5 Te 0.4049 0.5951 0.7500  6 Sb 3.22-3.31
6 Te 0.5951 0.4049 0.2500  6 Sb 3.22-3.31

## Properties
Its space-group type is Cmcm. For the relative energy among the computed polymorphs, the calculation gives 0.257 eV/atom. The calculation puts the total magnetization at 0.0 μB per cell. The formation energy (no corrections) comes out at 0.57 eV per formula unit.

This record from Alexandria via LeMat-Bulk describes an optimized crystal structure of NaPaIO5. The functional is PBE.

Lattice parameters (Å, degrees): 6.7486 6.7486 6.9877 108.76 108.76 95.41
Last column: nearest neighbours and their distance in Å.
Fractional positions:
1 Na 0.0630 0.9370 0.7500  5 O 2.54-2.66
2 Na 0.9370 0.0630 0.2500  5 O 2.54-2.66
3 Pa 0.0000 0.5000 0.0000  6 O 2.11-2.30
4 Pa 0.5000 0.0000 0.5000  6 O 2.11-2.30
5 I 0.4222 0.5778 0.7500  2 O 1.94
6 I 0.5778 0.4222 0.2500  2 O 1.94
7 O 0.1411 0.5814 0.7688  1 I 1.94
8 O 0.2034 0.7966 0.2500  2 Pa 2.15
9 O 0.2256 0.3137 0.0791  1 Pa 2.11, 1 I 2.21
10 O 0.3137 0.2256 0.5791  1 Pa 2.11, 1 I 2.21
11 O 0.4186 0.8589 0.7312  1 I 1.94
12 O 0.5814 0.1411 0.2688  1 I 1.94
13 O 0.6863 0.7744 0.4209  1 Pa 2.11, 1 I 2.21
14 O 0.7744 0.6863 0.9209  1 Pa 2.11, 1 I 2.21
15 O 0.7966 0.2034 0.7500  2 Pa 2.15
16 O 0.8589 0.4186 0.2312  1 I 1.94

## Properties
Its space-group type is C2/c. The calculation puts the total magnetization at 0.0 μB per cell. The formation energy (no corrections) comes out at -15.02 eV per formula unit.

This record from Alexandria via LeMat-Bulk describes an optimized crystal structure of Nd5HoEr6. The functional is PBE.

Lattice parameters (Å, degrees): 9.4726 9.4726 9.4726 148.86 115.99 72.89
Last column: nearest neighbours and their distance in Å.
Fractional positions:
1 Nd 0.0000 0.0000 0.0000  8 Er 3.57-3.58, 4 Nd 3.59
2 Nd 0.1667 0.6667 0.5000  8 Er 3.57-3.58, 4 Nd 3.59-3.61
3 Nd 0.3348 0.3348 0.0000  8 Er 3.54-3.60, 2 Ho 3.58, 2 Nd 3.61
4 Nd 0.6652 0.6652 0.0000  8 Er 3.54-3.60, 2 Ho 3.58, 2 Nd 3.61
5 Nd 0.8333 0.3333 0.5000  8 Er 3.57-3.58, 4 Nd 3.59-3.61
6 Ho 0.5000 0.0000 0.5000  8 Er 3.56, 4 Nd 3.58
7 Er 0.0847 0.8338 0.2509  1 Ho 3.56, 7 Nd 3.57-3.60, 4 Er 3.59-3.60
8 Er 0.2516 0.5000 0.7516  6 Nd 3.54-3.58, 2 Ho 3.56, 4 Er 3.59
9 Er 0.4171 0.1662 0.2509  1 Ho 3.56, 7 Nd 3.57-3.60, 4 Er 3.59-3.60
10 Er 0.5829 0.8338 0.7491  1 Ho 3.56, 7 Nd 3.57-3.60, 4 Er 3.59-3.60
11 Er 0.7484 0.5000 0.2484  6 Nd 3.54-3.58, 2 Ho 3.56, 4 Er 3.59
12 Er 0.9153 0.1662 0.7491  1 Ho 3.56, 7 Nd 3.57-3.60, 4 Er 3.59-3.60

## Properties
Its space-group type is Immm. As for the calculated formation energy: 0.02 eV/atom. The calculation puts the total magnetization at 0.0 μB per cell.

This record from Alexandria via LeMat-Bulk describes an optimized crystal structure of HoEr2Hg. The functional is PBE.

Lattice parameters (Å, degrees): 4.7754 4.7754 4.7605 90.00 90.00 90.00
Last column: nearest neighbours and their distance in Å.
Fractional positions:
1 Ho 0.0000 0.0000 0.0000  8 Er 3.37, 4 Hg 3.38
2 Er 0.0000 0.5000 0.5000  4 Hg 3.37, 4 Ho 3.37, 4 Er 3.38
3 Er 0.5000 0.0000 0.5000  4 Hg 3.37, 4 Ho 3.37, 4 Er 3.38
4 Hg 0.5000 0.5000 0.0000  8 Er 3.37, 4 Ho 3.38

## Properties
Its space-group type is P4/mmm. For the relative energy among the computed polymorphs, the calculation gives 0.074 eV/atom. As for the calculated formation energy: -0.15 eV/atom. The calculation puts the total magnetization at 0.3 μB per cell.

This record from Alexandria via LeMat-Bulk describes an optimized crystal structure of CaHg. The functional is PBE.

Lattice parameters (Å, degrees): 8.0463 8.0463 8.0463 109.47 109.47 109.47
Last column: nearest neighbours and their distance in Å.
Fractional positions:
1 Ca 0.0000 0.0000 0.6065  4 Hg 2.94-3.11
2 Ca 0.0000 0.6065 0.0000  4 Hg 2.94-3.11
3 Ca 0.3935 0.3935 0.3935  4 Hg 2.94-3.11
4 Ca 0.6065 0.0000 0.0000  4 Hg 2.94-3.11
5 Hg 0.0000 0.0000 0.2416  4 Ca 2.94-3.11, 3 Hg 3.17
6 Hg 0.0000 0.2416 0.0000  4 Ca 2.94-3.11, 3 Hg 3.17
7 Hg 0.2416 0.0000 0.0000  4 Ca 2.94-3.11, 3 Hg 3.17
8 Hg 0.7584 0.7584 0.7584  4 Ca 2.94-3.11, 3 Hg 3.17

## Properties
Its space-group type is I-43m. As for the calculated formation energy: 0.06 eV/atom. The calculation puts the total magnetization at 0.0 μB per cell.

What is the total magnetization in the fifth record?
0.0 μB per cell